Entry 1:
{"formula": "BiW2Br8O2", "functional": "SCAN", "state": "single point on PBEsol structure", "lattice": [[7.560, -0.117, 0.081], [0.102, 9.416, 0.249], [2.026, 0.343, 11.130]], "species": ["O", "O", "O", "O", "W", "W", "W", "W", "Bi", "Bi", "Br", "Br", "Br", "Br", "Br", "Br", "Br", "Br", "Br", "Br", "Br", "Br", "Br", "Br", "Br", "Br"], "frac_coords": [[0.043, 0.110, 0.851], [0.458, 0.890, 0.145], [0.957, 0.890, 0.149], [0.542, 0.110, 0.855], [0.293, 0.114, 0.851], [0.206, 0.890, 0.151], [0.794, 0.110, 0.849], [0.707, 0.886, 0.149], [0.377, 0.678, 0.426], [0.623, 0.322, 0.574], [0.226, 0.157, 0.079], [0.774, 0.843, 0.921], [0.360, 0.059, 0.633], [0.269, 0.845, 0.922], [0.731, 0.155, 0.078], [0.311, 0.375, 0.799], [0.689, 0.625, 0.201], [0.348, 0.380, 0.435], [0.188, 0.630, 0.215], [0.640, 0.941, 0.367], [0.812, 0.370, 0.785], [0.156, 0.951, 0.365], [0.652, 0.620, 0.565], [0.135, 0.687, 0.627], [0.844, 0.049, 0.635], [0.865, 0.313, 0.373]], "e_form_raw_ev_per_fu": -11.54, "dft_energy_ev_per_atom": -30.5873}

***

Entry 2:
{"formula": "BiOsBr3", "functional": "SCAN", "state": "single point on PBEsol structure", "lattice": [[5.646, 0.000, 0.000], [0.000, 5.646, 0.000], [0.000, 0.000, 5.646]], "species": ["Os", "Br", "Br", "Br", "Bi"], "frac_coords": [[0.500, 0.500, 0.500], [0.500, 0.000, 0.000], [0.000, 0.500, 0.000], [0.000, 0.000, 0.500], [0.000, 0.000, 0.000]], "e_form_raw_ev_per_fu": 5.55, "dft_energy_ev_per_atom": -40.6569}

***

Entry 3:
{"formula": "Bi2OsPdBr", "functional": "SCAN", "state": "single point on PBEsol structure", "lattice": [[4.479, 0.000, 0.000], [0.000, 5.463, 0.000], [0.000, 0.000, 5.463]], "species": ["Br", "Bi", "Bi", "Pd", "Os"], "frac_coords": [[0.000, 0.000, 0.000], [0.000, 0.500, 0.000], [0.000, 0.000, 0.500], [0.500, 0.000, 0.000], [0.500, 0.500, 0.500]], "e_form_raw_ev_per_fu": 9.10, "dft_energy_ev_per_atom": -54.4336}

***

Entry 4:
{"formula": "Bi3PBr", "functional": "SCAN", "state": "single point on PBEsol structure", "lattice": [[5.552, 0.000, 0.000], [0.000, 5.552, 0.000], [0.000, 0.000, 5.552]], "species": ["Bi", "Bi", "Bi", "P", "Br"], "frac_coords": [[0.500, 0.000, 0.000], [0.000, 0.000, 0.500], [0.000, 0.500, 0.000], [0.500, 0.500, 0.500], [0.000, 0.000, 0.000]], "e_form_raw_ev_per_fu": 7.05, "dft_energy_ev_per_atom": -51.7085}